[1]
Computed, not measured: a relaxed structure of KScCd3 at the PBE level of DFT.

As for the symmetry: Pm-3m. The value obtained for the energy relative to the elements is 0.912 eV per atom. The calculation puts the energy above the most stable polymorph in this dataset at 3.22 eV/f.u.

a b c (Å): 5.698 5.698 5.698
angles (deg): 90.00 90.00 90.00
Element x y z (fractional)
Cd (0.000, 0.000, 0.500)
Cd (0.500, 0.000, 0.000)
Cd (0.000, 0.500, 0.000)
K (0.000, 0.000, 0.000)
Sc (0.500, 0.500, 0.500)

[2]
Computed, not measured: a relaxed structure of KScCd17 at the PBE level of DFT.

As for the symmetry: R3m. The value obtained for the energy relative to the elements is -0.037 eV per atom.

a b c (Å): 7.758 7.758 7.758
angles (deg): 81.19 81.19 81.19
Element x y z (fractional)
Cd (0.975, 0.529, 0.975)
Cd (0.975, 0.975, 0.529)
Cd (0.108, 0.108, 0.108)
Cd (0.529, 0.975, 0.975)
Cd (0.600, 0.224, 0.600)
Cd (0.892, 0.348, 0.348)
Cd (0.701, 0.296, 0.003)
Cd (0.296, 0.003, 0.701)
Cd (0.348, 0.348, 0.892)
Cd (0.296, 0.701, 0.003)
Cd (0.348, 0.892, 0.348)
Cd (0.003, 0.296, 0.701)
Cd (0.914, 0.914, 0.914)
Cd (0.600, 0.600, 0.224)
Cd (0.701, 0.003, 0.296)
Cd (0.224, 0.600, 0.600)
Cd (0.003, 0.701, 0.296)
Sc (0.319, 0.319, 0.319)
K (0.667, 0.667, 0.667)

[3]
Computed, not measured: a relaxed structure of KScCd at the PBE level of DFT.

As for the symmetry: P3m1. The value obtained for the energy relative to the elements is 0.269 eV per atom. The calculation puts the energy above the most stable polymorph in this dataset at 0.33 eV/f.u.

a b c (Å): 3.523 3.523 8.790
angles (deg): 90.00 90.00 120.00
Element x y z (fractional)
Cd (0.000, 0.000, 0.970)
K (0.667, 0.333, 0.318)
Sc (0.333, 0.667, 0.712)

[4]
Computed, not measured: a relaxed structure of KScCdSe3 at the PBE level of DFT.

As for the symmetry: P2_1/m. The value obtained for the uncorrected formation energy is -7.400 eV/f.u.

a b c (Å): 4.112 8.726 10.144
angles (deg): 108.86 90.00 90.00
Element x y z (fractional)
Sc (0.250, 0.667, 0.128)
Sc (0.750, 0.333, 0.872)
Se (0.750, 0.466, 0.146)
Se (0.250, 0.118, 0.877)
Se (0.250, 0.534, 0.854)
Se (0.750, 0.244, 0.550)
Se (0.250, 0.756, 0.450)
Se (0.750, 0.882, 0.123)
K (0.750, 0.781, 0.760)
K (0.250, 0.219, 0.240)
Cd (0.750, 0.915, 0.386)
Cd (0.250, 0.085, 0.614)

[5]
Computed, not measured: a relaxed structure of KSrSc2Cd at the PBE level of DFT.

As for the symmetry: P4/mmm. The value obtained for the energy relative to the elements is 1.233 eV per atom.

a b c (Å): 5.284 5.756 5.284
angles (deg): 90.00 90.00 90.00
Element x y z (fractional)
Sc (0.000, 0.000, 0.500)
Sc (0.500, 0.000, 0.000)
K (0.000, 0.000, 0.000)
Sr (0.000, 0.500, 0.000)
Cd (0.500, 0.500, 0.500)

[6]
Computed, not measured: a relaxed structure of KScCdTc2 at the PBE level of DFT.

As for the symmetry: P4/mmm. The value obtained for the energy relative to the elements is 2.187 eV per atom.

a b c (Å): 4.601 4.658 4.601
angles (deg): 90.00 90.00 90.00
Element x y z (fractional)
Tc (0.000, 0.000, 0.500)
Tc (0.500, 0.000, 0.000)
K (0.000, 0.000, 0.000)
Sc (0.000, 0.500, 0.000)
Cd (0.500, 0.500, 0.500)

[7]
Computed, not measured: a relaxed structure of KScCdTe2 at the PBE level of DFT.

As for the symmetry: P4/mmm. The value obtained for the uncorrected formation energy is -1.432 eV/f.u.

a b c (Å): 5.553 6.902 5.553
angles (deg): 90.00 90.00 90.00
Element x y z (fractional)
Te (0.000, 0.000, 0.500)
Te (0.500, 0.000, 0.000)
Sc (0.000, 0.000, 0.000)
K (0.000, 0.500, 0.000)
Cd (0.500, 0.500, 0.500)

[8]
Computed, not measured: a relaxed structure of K2CdSe2 at the PBE level of DFT.

As for the symmetry: P2_1/c. The value obtained for the uncorrected formation energy is -4.967 eV/f.u.

a b c (Å): 8.116 8.164 10.077
angles (deg): 90.00 96.21 90.00
Element x y z (fractional)
Se (0.321, 0.620, 0.590)
Se (0.244, 0.549, 0.144)
Se (0.179, 0.120, 0.410)
Se (0.821, 0.880, 0.590)
Se (0.756, 0.451, 0.856)
Se (0.679, 0.380, 0.410)
Se (0.256, 0.049, 0.856)
Se (0.744, 0.951, 0.144)
K (0.052, 0.337, 0.674)
K (0.519, 0.273, 0.064)
K (0.448, 0.837, 0.326)
K (0.481, 0.727, 0.936)
K (0.948, 0.663, 0.326)
K (0.552, 0.163, 0.674)
K (0.981, 0.773, 0.936)
K (0.019, 0.227, 0.064)
Cd (0.663, 0.591, 0.626)
Cd (0.337, 0.409, 0.374)
Cd (0.163, 0.909, 0.626)
Cd (0.837, 0.091, 0.374)